A plane-wave DFT calculation with GGA-PBE was carried out for Fe2CuHg after structural relaxation.

Its energy above the most stable polymorph in this dataset is 1.93 kcal/mol of atoms. The calculation puts the calculated total energy at -39.9 eV/cell. The density of states at the Fermi level is 4.823 states/eV/cell. The value obtained for the formation energy is 345.4 meV per atom.

The structure belongs to space group I-4m2 (No. 119); the cell edges are 3.906, 3.906 and 7.418 Å and the angles 90.00°, 90.00° and 90.00°. The inequivalent atoms are Fe at (0.000, 0.000, 0.000), Fe at (0.000, 0.500, 0.250), Cu at (0.000, 0.000, 0.500) and Hg at (0.000, 0.500, 0.750).